# 1
## GdBr (GGA-PBE)

Data for a geometry-optimized GdBr structure.

a = 3.774 Å, b = 3.774 Å, c = 9.019 Å
α = 90.00°, β = 90.00°, γ = 90.00°
Fractional coordinates of all 4 atoms:
Gd: 0.250 0.250 0.144
Gd: 0.750 0.750 0.856
Br: 0.250 0.250 0.688
Br: 0.750 0.750 0.312

Properties
For the density of states at the Fermi level, the calculation gives 5.41 states/eV per cell. The calculation puts the magnetic moment at 7.11 μB per formula unit. The calculation puts the uncorrected formation energy at -1148 meV/atom. As for the space group: P4/nmm. The crystal system is tetragonal. The value obtained for the calculated total energy is -9.025 eV/atom.

---

# 2
## Gd2GeBr (GGA-PBE)

Data for a geometry-optimized Gd2GeBr structure.

a = 7.372 Å, b = 7.372 Å, c = 7.372 Å
α = 33.46°, β = 33.46°, γ = 33.46°
Fractional coordinates of all 4 atoms:
Gd: 0.239 0.239 0.239
Gd: 0.761 0.761 0.761
Ge: 0.500 0.500 0.500
Br: 0.000 0.000 0.000

Properties
For the density of states at the Fermi level, the calculation gives 4.34 states/eV per cell. The calculation puts the magnetic moment at 14.00 μB per formula unit. The calculation puts the uncorrected formation energy at -1114 meV/atom. As for the space group: R-3m. The crystal system is trigonal. The value obtained for the calculated total energy is -9.727 eV/atom.

---

# 3
## GdGeBr2 (GGA-PBE)

Data for a geometry-optimized GdGeBr2 structure.

a = 10.463 Å, b = 10.463 Å, c = 10.463 Å
α = 20.29°, β = 20.29°, γ = 20.29°
Fractional coordinates of all 4 atoms:
Gd: 0.000 0.000 0.000
Ge: 0.500 0.500 0.500
Br: 0.090 0.090 0.090
Br: 0.910 0.910 0.910

Properties
For the density of states at the Fermi level, the calculation gives 2.92 states/eV per cell. The calculation puts the magnetic moment at 7.22 μB per formula unit. The calculation puts the uncorrected formation energy at -316 meV/atom. As for the space group: R-3m. The crystal system is trigonal. The value obtained for the calculated total energy is -5.827 eV/atom.

---

Please write out number 3 again, unchanged.
## GdGeBr2 (GGA-PBE)

Data for a geometry-optimized GdGeBr2 structure.

a = 10.463 Å, b = 10.463 Å, c = 10.463 Å
α = 20.29°, β = 20.29°, γ = 20.29°
Fractional coordinates of all 4 atoms:
Gd: 0.000 0.000 0.000
Ge: 0.500 0.500 0.500
Br: 0.090 0.090 0.090
Br: 0.910 0.910 0.910

Properties
For the density of states at the Fermi level, the calculation gives 2.92 states/eV per cell. The calculation puts the magnetic moment at 7.22 μB per formula unit. The calculation puts the uncorrected formation energy at -316 meV/atom. As for the space group: R-3m. The crystal system is trigonal. The value obtained for the calculated total energy is -5.827 eV/atom.